Density functional theory data (PBE) for a geometry-optimized NdErTl2Pt4 structure.

The size of the total moment is 0.01 Bohr magnetons per cell.

It has space group P-6m2 (No. 187), with a = 4.6554 Å, b = 4.6554 Å, c = 9.0817 Å, α = 90.00°, β = 90.00° and γ = 120.00°. The asymmetric unit holds Nd at (0.0000, 0.0000, 0.0000), Er at (0.3333, 0.6667, 0.5000), Tl at (0.6667, 0.3333, 0.2542), Pt at (0.0000, 0.0000, 0.3486) and Pt at (0.3333, 0.6667, 0.1594).

Density functional theory data (PBE) for a geometry-optimized CdMo4SN2 structure.

The size of the total moment is 0.00 Bohr magnetons per cell.

It has space group P-6m2 (No. 187), with a = 2.9617 Å, b = 2.9617 Å, c = 13.8878 Å, α = 90.00°, β = 90.00° and γ = 120.00°. The asymmetric unit holds Cd at (0.0000, 0.0000, 0.0000), Mo at (0.0000, 0.0000, 0.3687), Mo at (0.6667, 0.3333, 0.1768), S at (0.6667, 0.3333, 0.5000) and N at (0.3333, 0.6667, 0.2691).

Density functional theory data (PBE) for a geometry-optimized La2GdAs3 structure.

The size of the total moment is 0.00 Bohr magnetons per cell.

It has space group P-3m1 (No. 164), with a = 4.3009 Å, b = 4.3009 Å, c = 10.5402 Å, α = 90.00°, β = 90.00° and γ = 120.00°. The asymmetric unit holds La at (0.3333, 0.6667, 0.3283), Gd at (0.0000, 0.0000, 0.0000), As at (0.0000, 0.0000, 0.5000) and As at (0.3333, 0.6667, 0.8425).

Density functional theory data (PBE) for a geometry-optimized LuSbPd structure.

The size of the total moment is 0.00 Bohr magnetons per cell.

It has space group Pnma (No. 62), with a = 7.300 Å, b = 4.365 Å, c = 8.069 Å, α = 90.00°, β = 90.00° and γ = 90.00°. The asymmetric unit holds Lu at (0.022, 0.250, 0.202), Sb at (0.249, 0.250, 0.887) and Pd at (0.133, 0.250, 0.565).

Density functional theory data (PBE) for a geometry-optimized Sr2Ho2Ge5 structure.

The size of the total moment is 0.09 Bohr magnetons per cell.

It has space group R3m (No. 160, hexagonal axes), with a = 4.2823 Å, b = 4.2823 Å, c = 55.3708 Å, α = 90.00°, β = 90.00° and γ = 120.00°. The asymmetric unit holds Sr at (0.0000, 0.0000, 0.0000), Sr at (0.0000, 0.0000, 0.1794), Ho at (0.0000, 0.0000, 0.5897), Ho at (0.0000, 0.0000, 0.7589), Ge at (0.0000, 0.0000, 0.0607), Ge at (0.0000, 0.0000, 0.2343), Ge at (0.0000, 0.0000, 0.7058), Ge at (0.0000, 0.0000, 0.8098) and Ge at (0.0000, 0.0000, 0.9453).

Density functional theory data (PBE) for a geometry-optimized LuAlSnTe3 structure.

The size of the total moment is 0.04 Bohr magnetons per cell.

It has space group Cmcm (No. 63), with a = 4.291 Å, b = 14.618 Å, c = 11.090 Å, α = 90.00°, β = 90.00° and γ = 90.00°. The asymmetric unit holds Lu at (0.000, 0.000, 0.000), Al at (0.000, 0.463, 0.250), Sn at (0.000, 0.207, 0.750), Te at (0.000, 0.088, 0.250) and Te at (0.000, 0.356, 0.044).

Density functional theory data (PBE) for a geometry-optimized ZnTePO structure.

The value obtained for the energy above the most stable polymorph in this dataset is 275 meV per atom.

It has space group P4/nmm (No. 129, origin choice 2), with a = 3.864 Å, b = 3.864 Å, c = 8.830 Å, α = 90.00°, β = 90.00° and γ = 90.00°. The asymmetric unit holds Zn at (0.250, 0.750, 0.000), Te at (0.250, 0.250, 0.356), P at (0.250, 0.250, 0.822) and O at (0.250, 0.750, 0.500).

Density functional theory data (PBE) for a geometry-optimized Nd2Y2INCl4 structure.

The size of the total moment is 0.01 Bohr magnetons per cell.

It has space group C2/m (No. 12), with a = 17.113 Å, b = 3.821 Å, c = 8.743 Å, α = 90.00°, β = 103.90° and γ = 90.00°. The asymmetric unit holds Nd at (0.001, 0.000, 0.307), Y at (0.141, 0.500, 0.569), I at (0.000, 0.500, 0.000), N at (0.000, 0.500, 0.500), Cl at (0.170, 0.000, 0.799) and Cl at (0.175, 0.000, 0.364).

| no. | total DFT energy (no corrections) (eV/atom) |
| --- | --- |
| 1 | -5.511 |
| 2 | -8.139 |
| 3 | -6.300 |
| 4 | -5.599 |
| 5 | -3.986 |
| 6 | -4.109 |
| 7 | -3.718 |
| 8 | -5.726 |